(1)
DFT (meta-GGA SCAN) results for a PBEsol-optimized structure of Li3Mn8O4F12.

**Formation energy from raw total energies**: -2.631 eV/atom
**Energy**: -583.289 eV per cell
**Spin magnetization**: 78.000 μB per cell

Cell lengths 11.001, 5.985, 10.485 Å; angles 90.00, 113.85, 90.00 degrees
Space group C2/m (No. 12)
Unique sites:
Li 0.000 0.000 0.000
Li 0.188 0.000 0.577
Mn 0.006 0.251 0.757
Mn 0.237 0.500 0.722
Mn 0.250 0.250 0.000
O 0.125 0.000 0.890
O 0.143 0.500 0.872
F 0.115 0.239 0.632
F 0.121 0.223 0.133
F 0.124 0.500 0.358
F 0.129 0.000 0.377

(2)
DFT (meta-GGA SCAN) results for a PBEsol-optimized structure of Li2MnOF2.

**Formation energy from raw total energies**: -2.646 eV/atom
**Energy**: -208.878 eV per cell
**Spin magnetization**: 20.000 μB per cell

Cell lengths 10.749, 5.878, 4.041 Å; angles 90.00, 90.00, 90.00 degrees
Space group Cmcm (No. 63)
Unique sites:
Li 0.168 0.169 0.250
Mn 0.000 0.323 0.750
O 0.000 0.315 0.250
F 0.181 0.157 0.750

(3)
DFT (meta-GGA SCAN) results for a PBEsol-optimized structure of LiMn2O2F3.

**Relative energy among the computed polymorphs**: 0.38 eV/f.u.
**Formation energy from raw total energies**: -2.584 eV/atom
**Energy**: -330.625 eV per cell
**Spin magnetization**: 32.000 μB per cell

Cell lengths 9.575, 3.769, 10.238 Å; angles 90.00, 91.19, 90.00 degrees
Space group C2/m (No. 12)
Unique sites:
Li 0.138 0.000 0.044
Mn 0.140 0.000 0.452
Mn 0.180 0.000 0.753
O 0.048 0.000 0.611
O 0.183 0.500 0.441
F 0.036 0.000 0.879
F 0.199 0.500 0.088
F 0.236 0.000 0.278